Density functional theory data (SCAN) for a crystal of TlIn3Fe relaxed with PBEsol.

Lattice parameters (Å, degrees): 4.9532 4.9532 4.9532 90.00 90.00 90.00
Last column: nearest neighbours and their distance in Å.
Positions (direct):
In 0.5000 0.0000 0.0000  2 Fe 2.48
Fe 0.0000 0.0000 0.0000  6 In 2.48
Tl 0.5000 0.5000 0.5000  12 In 3.50
In 0.0000 0.0000 0.5000  2 Fe 2.48
In 0.0000 0.5000 0.0000  2 Fe 2.48

Total energy = -189.91 eV/cell
Space group = Pm-3m (221)
Total moment = 1.41 μB per formula unit
Calculated density = 8.26 g cm⁻³
DFT formation energy = 147 meV/atom


Density functional theory data (SCAN) for a crystal of CaFeBr relaxed with PBEsol.

Lattice parameters (Å, degrees): 3.6109 3.6109 6.0627 90.00 90.00 120.00
Last column: nearest neighbours and their distance in Å.
Positions (direct):
Ca 0.6667 0.3333 0.6663  3 Fe 3.00, 3 Br 3.01
Br 0.0000 0.0000 0.0233  3 Fe 2.72, 3 Ca 3.01
Fe 0.3333 0.6667 0.3104  3 Br 2.72, 3 Ca 3.00

Total energy = -47.81 eV/cell
Space group = P3m1 (156)
Total moment = 3.00 μB per formula unit
E_form (uncorrected) = -54 kJ/mol of formula units
Calculated density = 4.26 g cm⁻³


Density functional theory data (SCAN) for a crystal of InNiTeI2 relaxed with PBEsol.

Lattice parameters (Å, degrees): 5.7131 5.6843 5.6843 90.00 90.00 90.00
Last column: nearest neighbours and their distance in Å.
Positions (direct):
I 0.0000 0.0000 0.5000  2 In 2.84
Te 0.5000 0.0000 0.0000  2 In 2.86
In 0.0000 0.0000 0.0000  4 I 2.84, 2 Te 2.86
I 0.0000 0.5000 0.0000  2 In 2.84
Ni 0.5000 0.5000 0.5000  4 Te 4.02, 8 I 4.03

Total energy = -156.98 eV/cell
Space group = P4/mmm (123)
Total moment = 1.56 μB per formula unit
E_form (uncorrected) = 320 kJ/mol of formula units
Calculated density = 4.99 g cm⁻³